No. 1
# Ac6Os2Br3Cl, optimized geometry, DFT PBE-GGA
# density of states at the Fermi level: 3.10 states/eV/f.u.
# magnetic moment: 0.00 μB/cell
# uncorrected energy: -66.14 eV for the cell shown
data_Ac6Os2Br3Cl
_chemical_formula_sum 'Ac6 Os2 Br3 Cl1'
_space_group_name_H-M_alt 'P 1'
_space_group_IT_number 1
_space_group_name_Hall 'P 1'
_cell_length_a 7.680
_cell_length_b 7.680
_cell_length_c 8.638
_cell_angle_alpha 98.43
_cell_angle_beta 98.43
_cell_angle_gamma 120.04
loop_
_atom_site_label
_atom_site_fract_x
_atom_site_fract_y
_atom_site_fract_z
Ac1 0.066 0.429 0.199
Ac2 0.297 0.297 0.802
Ac3 0.703 0.703 0.198
Ac4 0.934 0.571 0.801
Ac5 0.429 0.066 0.199
Ac6 0.571 0.934 0.801
Os1 0.333 0.667 0.000
Os2 0.667 0.333 0.000
Br1 0.168 0.832 0.500
Br2 0.832 0.168 0.500
Br3 0.500 0.500 0.500
Cl1 0.000 0.000 0.000

No. 2
# YCo2Br, optimized geometry, DFT PBE-GGA
# density of states at the Fermi level: 2.32 states/eV/f.u.
# magnetic moment: 2.20 μB/cell
# uncorrected energy: -22.29 eV for the cell shown
data_YCo2Br
_chemical_formula_sum 'Y1 Co2 Br1'
_space_group_name_H-M_alt 'P 1'
_space_group_IT_number 1
_space_group_name_Hall 'P 1'
_cell_length_a 4.067
_cell_length_b 3.564
_cell_length_c 5.312
_cell_angle_alpha 89.98
_cell_angle_beta 90.00
_cell_angle_gamma 90.00
loop_
_atom_site_label
_atom_site_fract_x
_atom_site_fract_y
_atom_site_fract_z
Co1 0.000 0.750 0.044
Co2 0.000 0.750 0.456
Y1 0.500 0.250 0.250
Br1 0.500 0.750 0.750

No. 3
# TeN2Cl, optimized geometry, DFT PBE-GGA
# density of states at the Fermi level: 0.43 states/eV/f.u.
# magnetic moment: 0.00 μB/cell
# uncorrected energy: -43.87 eV for the cell shown
data_TeN2Cl
_chemical_formula_sum 'Te2 N4 Cl2'
_space_group_name_H-M_alt 'P 1'
_space_group_IT_number 1
_space_group_name_Hall 'P 1'
_cell_length_a 7.578
_cell_length_b 3.410
_cell_length_c 11.137
_cell_angle_alpha 82.00
_cell_angle_beta 93.43
_cell_angle_gamma 116.52
loop_
_atom_site_label
_atom_site_fract_x
_atom_site_fract_y
_atom_site_fract_z
Cl1 0.249 0.667 0.680
Cl2 0.751 0.333 0.320
Te1 0.500 0.000 0.500
Te2 0.000 0.500 0.500
N1 0.830 0.135 0.901
N2 0.666 0.957 0.900
N3 0.334 0.043 0.100
N4 0.170 0.865 0.099

Which value of magnetic moment does entry 2 give?
2.20 μB/cell